# LaSi2Pd2, relaxed, DFT PBE
data_LaSi2Pd2
_chemical_formula_sum 'La1 Si2 Pd2'
_space_group_name_H-M_alt 'P 1'
_space_group_IT_number 1
_cell_length_a 4.3588
_cell_length_b 4.3588
_cell_length_c 5.8676
_cell_angle_alpha 68.20
_cell_angle_beta 68.20
_cell_angle_gamma 90.00
loop_
_space_group_symop_operation_xyz
'x,y,z'
loop_
_atom_site_label
_atom_site_type_symbol
_atom_site_fract_x
_atom_site_fract_y
_atom_site_fract_z
Si1 Si 0.2500 0.7500 0.5000
Pd1 Pd 0.3612 0.3612 0.2775
Si2 Si 0.7500 0.2500 0.5000
La1 La 0.0000 0.0000 0.0000
Pd2 Pd 0.6388 0.6388 0.7225
# raw formation energy	-804.6	meV/atom
# space group	No. 139
# V	18.97	Å³ per atom
# Fermi-level density of states	2.3	states/eV/cell